No. 1
Below is an optimized crystal structure of Cu2IrRhO8, with properties calculated at the GGA-PBE level.

Unit cell a=6.1950 b=6.1950 c=6.8661 alpha=90.00 beta=90.00 gamma=90.00
Space group I-4m2 (No. 119)
Symmetry-distinct sites (fractional):
Cu: 0.0000 0.0000 0.0000 [2 per cell]
Cu: 0.0000 0.5000 0.2500 [2 per cell]
Ir: 0.0000 0.0000 0.5000 [2 per cell]
Rh: 0.0000 0.5000 0.7500 [2 per cell]
O: 0.0000 0.1851 0.7807 [8 per cell]
O: 0.0000 0.3058 0.4614 [8 per cell]

Summary:
Energy relative to the elements, uncorrected: -260 meV per atom

=====

No. 2
Below is an optimized crystal structure of Mg2TlSn2, with properties calculated at the GGA-PBE level.

Unit cell a=5.1426 b=16.2281 c=3.1752 alpha=90.00 beta=90.00 gamma=90.00
Space group Cmmm (No. 65)
Symmetry-distinct sites (fractional):
Mg: 0.0000 0.1871 0.0000 [4 per cell]
Tl: 0.0000 0.0000 0.5000 [2 per cell]
Sn: 0.0000 0.3598 0.5000 [4 per cell]

Summary:
Energy relative to the lowest polymorph listed for this composition: 27 meV/atom
Formation energy: -0.05 eV/atom

=====

No. 3
Below is an optimized crystal structure of Zr2TlPt2, with properties calculated at the GGA-PBE level.

Unit cell a=4.6792 b=4.6792 c=10.4716 alpha=90.00 beta=90.00 gamma=90.00
Space group I4/mmm (No. 139)
Symmetry-distinct sites (fractional):
Zr: 0.0000 0.5000 0.2500 [4 per cell]
Tl: 0.0000 0.0000 0.0000 [2 per cell]
Pt: 0.0000 0.0000 0.3765 [4 per cell]

Summary:
Formation energy: -0.59 eV/atom

=====

No. 4
Below is an optimized crystal structure of PdPtN2F, with properties calculated at the GGA-PBE level.

Unit cell a=4.0081 b=4.0081 c=3.9318 alpha=90.00 beta=90.00 gamma=90.00
Space group P4/mmm (No. 123)
Symmetry-distinct sites (fractional):
Pd: 0.0000 0.0000 0.0000 [1 per cell]
Pt: 0.5000 0.5000 0.5000 [1 per cell]
N: 0.0000 0.5000 0.0000 [2 per cell]
F: 0.0000 0.0000 0.5000 [1 per cell]

Summary:
Energy relative to the lowest polymorph listed for this composition: 369 meV/atom
Energy relative to the elements, uncorrected: 1454 meV per atom

=====

No. 5
Below is an optimized crystal structure of AcAl2Ga3, with properties calculated at the GGA-PBE level.

Unit cell a=4.6170 b=4.6170 c=14.0004 alpha=90.00 beta=90.00 gamma=120.00
Space group P6_3/mmc (No. 194)
Symmetry-distinct sites (fractional):
Ac: 0.0000 0.0000 0.2500 [2 per cell]
Al: 0.3333 0.6667 0.0870 [4 per cell]
Ga: 0.0000 0.0000 0.0000 [2 per cell]
Ga: 0.3333 0.6667 0.6083 [4 per cell]

Summary:
Formation energy: -0.33 eV/atom

=====

No. 6
Below is an optimized crystal structure of Pa5Ga2Tc5, with properties calculated at the GGA-PBE level.

Unit cell a=14.5193 b=3.6016 c=9.9494 alpha=90.00 beta=110.26 gamma=90.00
Space group C2/m (No. 12)
Symmetry-distinct sites (fractional):
Pa: 0.0000 0.0000 0.0000 [2 per cell]
Pa: 0.1441 0.0000 0.5583 [4 per cell]
Pa: 0.1935 0.5000 0.0910 [4 per cell]
Ga: 0.0578 0.5000 0.2758 [4 per cell]
Tc: 0.0000 0.5000 0.5000 [2 per cell]
Tc: 0.1364 0.5000 0.8293 [4 per cell]
Tc: 0.2041 0.0000 0.2964 [4 per cell]

Summary:
Formation energy: -0.12 eV/atom

=====

No. 7
Below is an optimized crystal structure of Fe4TeW, with properties calculated at the GGA-PBE level.

Unit cell a=6.8923 b=6.8923 c=6.8923 alpha=90.00 beta=90.00 gamma=90.00
Space group F-43m (No. 216)
Symmetry-distinct sites (fractional):
Fe: 0.1239 0.1239 0.3761 [16 per cell]
Te: 0.0000 0.0000 0.0000 [4 per cell]
W: 0.2500 0.2500 0.7500 [4 per cell]

Summary:
Energy relative to the elements, uncorrected: 355 meV per atom

=====

No. 8
Below is an optimized crystal structure of Ac3SbCl, with properties calculated at the GGA-PBE level.

Unit cell a=5.6438 b=5.6438 c=5.6438 alpha=90.00 beta=90.00 gamma=90.00
Space group Pm-3m (No. 221)
Symmetry-distinct sites (fractional):
Ac: 0.0000 0.0000 0.5000 [3 per cell]
Sb: 0.5000 0.5000 0.5000 [1 per cell]
Cl: 0.0000 0.0000 0.0000 [1 per cell]

Summary:
Energy relative to the elements, uncorrected: -596 meV per atom

=====

No. 9
Below is an optimized crystal structure of Ba2PbI2O2, with properties calculated at the GGA-PBE level.

Unit cell a=13.9715 b=4.4081 c=8.7318 alpha=90.00 beta=121.94 gamma=90.00
Space group C2/m (No. 12)
Symmetry-distinct sites (fractional):
Ba: 0.2024 0.0000 0.2849 [4 per cell]
Pb: 0.0000 0.0000 0.5000 [2 per cell]
I: 0.0687 0.5000 0.8399 [4 per cell]
O: 0.1914 0.0000 0.5695 [4 per cell]

Summary:
Energy relative to the elements, uncorrected: -1805 meV per atom

=====

No. 10
Below is an optimized crystal structure of Zr2FeHRh, with properties calculated at the GGA-PBE level.

Unit cell a=4.5375 b=4.5375 c=3.5221 alpha=90.00 beta=90.00 gamma=90.00
Space group P4/mmm (No. 123)
Symmetry-distinct sites (fractional):
Zr: 0.0000 0.5000 0.0000 [2 per cell]
Fe: 0.0000 0.0000 0.5000 [1 per cell]
H: 0.5000 0.5000 0.0000 [1 per cell]
Rh: 0.5000 0.5000 0.5000 [1 per cell]

Summary:
Energy relative to the lowest polymorph listed for this composition: 97 meV/atom

=====

No. 11
Below is an optimized crystal structure of Sc2AgHg, with properties calculated at the GGA-PBE level.

Unit cell a=3.4079 b=3.4079 c=26.8672 alpha=90.00 beta=90.00 gamma=120.00
Space group R-3m (No. 166, hexagonal axes)
Symmetry-distinct sites (fractional):
Sc: 0.0000 0.0000 0.2483 [6 per cell]
Ag: 0.0000 0.0000 0.5000 [3 per cell]
Hg: 0.0000 0.0000 0.0000 [3 per cell]

Summary:
Formation energy: -0.15 eV/atom

=====

No. 12
Below is an optimized crystal structure of Na3HgCl6, with properties calculated at the GGA-PBE level.

Unit cell a=6.9229 b=7.4717 c=11.6582 alpha=90.00 beta=120.80 gamma=90.00
Space group P2_1/c (No. 14)
Symmetry-distinct sites (fractional):
Na: 0.0000 0.0000 0.0000 [2 per cell]
Na: 0.1842 0.0740 0.7210 [4 per cell]
Hg: 0.5000 0.0000 0.5000 [2 per cell]
Cl: 0.1532 0.1765 0.4631 [4 per cell]
Cl: 0.2067 0.6983 0.3953 [4 per cell]
Cl: 0.4211 0.0866 0.2703 [4 per cell]

Summary:
Energy relative to the elements, uncorrected: -1156 meV per atom